[1]
First-principles (PBE-GGA) data for a geometry-optimized Pa6Tc5Pd structure, as listed in the Alexandria database.

Unit cell a=6.9791 b=6.8988 c=6.5697 alpha=58.33 beta=81.70 gamma=74.04
With the nearest neighbours (Å) after each atom.
Element x y z (fractional)
Pa  0.7259  0.0935  0.3487  5 Tc 2.73-2.86, 1 Pd 2.99
Pa  0.2741  0.5577  0.3487  5 Tc 2.73-2.86, 1 Pd 2.99
Pa  0.2217  0.2842  0.0000  5 Tc 2.75-2.80, 1 Pd 2.81
Pa  0.7783  0.7158  0.0000  5 Tc 2.75-2.80, 1 Pd 2.81
Pa  0.7259  0.4423  0.6513  5 Tc 2.73-2.86, 1 Pd 2.99
Pa  0.2741  0.9065  0.6513  5 Tc 2.73-2.86, 1 Pd 2.99
Tc  0.5000  0.1354  0.7292  6 Pa 2.77-2.86, 1 Tc 3.03
Tc  0.0000  0.3156  0.3689  6 Pa 2.76-2.81
Tc  0.5000  0.5000  0.0000  6 Pa 2.73-2.75
Tc  0.0000  0.6844  0.6311  6 Pa 2.76-2.81
Tc  0.5000  0.8646  0.2708  6 Pa 2.77-2.86, 1 Tc 3.03
Pd  0.0000  0.0000  0.0000  6 Pa 2.81-2.99

Computed properties:
final energy: -9.677 eV/atom
calculated formation energy: -0.1772 eV per atom
calculated volume: 258.8 Å³ per cell

[2]
First-principles (PBE-GGA) data for a geometry-optimized ZrHgBi structure, as listed in the Alexandria database.

Unit cell a=5.4736 b=3.3325 c=8.2183 alpha=90.00 beta=96.16 gamma=90.00
With the nearest neighbours (Å) after each atom.
Element x y z (fractional)
Bi  0.2250  0.5000  0.3586  6 Zr 3.17-3.26, 2 Bi 3.33, 3 Hg 3.45-3.49
Bi  0.7750  0.5000  0.6414  6 Zr 3.17-3.26, 2 Bi 3.33, 3 Hg 3.45-3.49
Zr  0.2755  0.0000  0.6891  3 Hg 3.10-3.18, 6 Bi 3.17-3.26, 2 Zr 3.33
Zr  0.7245  0.0000  0.3109  3 Hg 3.10-3.18, 6 Bi 3.17-3.26, 2 Zr 3.33
Hg  0.0000  0.0000  0.0000  2 Zr 3.10, 6 Hg 3.20-3.33
Hg  0.5000  0.5000  0.0000  4 Zr 3.18, 6 Hg 3.20-3.33, 2 Bi 3.45

Computed properties:
relative energy among the computed polymorphs: 10.62 kJ/mol of atoms
final energy: -4.369 eV/atom
calculated formation energy: -0.1254 eV per atom
calculated volume: 149.0 Å³ per cell

[3]
First-principles (PBE-GGA) data for a geometry-optimized LiY3Au2 structure, as listed in the Alexandria database.

Unit cell a=3.6767 b=5.0243 c=8.1104 alpha=108.04 beta=90.00 gamma=90.00
With the nearest neighbours (Å) after each atom.
Element x y z (fractional)
Li  0.0000  0.0000  0.0000  8 Y 3.11-3.23, 4 Au 3.46
Y  0.5000  0.5000  0.0000  4 Au 3.00, 4 Li 3.11
Y  0.5000  0.8278  0.6557  6 Au 3.13-3.25, 2 Li 3.23, 2 Y 3.47
Y  0.5000  0.1722  0.3443  6 Au 3.13-3.25, 2 Li 3.23, 2 Y 3.47
Au  0.0000  0.3462  0.6923  8 Y 3.00-3.25
Au  0.0000  0.6538  0.3077  8 Y 3.00-3.25

Computed properties:
final energy: -5.233 eV/atom
calculated formation energy: -0.5893 eV per atom
calculated volume: 142.5 Å³ per cell

[4]
First-principles (PBE-GGA) data for a geometry-optimized SrMg2Cr structure, as listed in the Alexandria database.

Unit cell a=5.3227 b=5.3227 c=5.3227 alpha=120.36 beta=120.36 gamma=89.37
With the nearest neighbours (Å) after each atom.
Element x y z (fractional)
Cr  0.7500  0.2500  0.5000  4 Mg 3.25, 4 Sr 3.25
Mg  0.0000  0.0000  0.0000  4 Cr 3.25, 4 Mg 3.25
Mg  0.2500  0.7500  0.5000  4 Sr 3.25, 4 Mg 3.25
Sr  0.5000  0.5000  0.0000  4 Cr 3.25, 4 Mg 3.25

Computed properties:
final energy: -3.264 eV/atom
calculated formation energy: 0.3593 eV per atom
calculated volume: 106.0 Å³ per cell

[5]
First-principles (PBE-GGA) data for a geometry-optimized Ba3Sn2P2Pd4 structure, as listed in the Alexandria database.

Unit cell a=4.4190 b=4.4190 c=17.2308 alpha=90.00 beta=90.00 gamma=120.00
With the nearest neighbours (Å) after each atom.
Element x y z (fractional)
Ba  0.0000  0.0000  0.7411  3 P 3.32, 6 Pd 3.36-3.59
Ba  0.0000  0.0000  0.0000  6 Pd 3.42, 6 P 3.46
Ba  0.0000  0.0000  0.2589  3 P 3.32, 6 Pd 3.36-3.59
Sn  0.6667  0.3333  0.4350  4 Pd 2.60-2.75
Sn  0.3333  0.6667  0.5650  4 Pd 2.60-2.75
P  0.6667  0.3333  0.8643  3 Pd 2.55
P  0.3333  0.6667  0.1357  3 Pd 2.55
Pd  0.6667  0.3333  0.1323  3 P 2.55
Pd  0.3333  0.6667  0.8677  3 P 2.55
Pd  0.6667  0.3333  0.5944  4 Sn 2.60-2.75
Pd  0.3333  0.6667  0.4056  4 Sn 2.60-2.75

Computed properties:
final energy: -4.843 eV/atom
calculated formation energy: -0.7186 eV per atom
calculated volume: 291.4 Å³ per cell

[6]
First-principles (PBE-GGA) data for a geometry-optimized Co4PdPt structure, as listed in the Alexandria database.

Unit cell a=4.7523 b=4.7523 c=4.7523 alpha=60.00 beta=60.00 gamma=60.00
With the nearest neighbours (Å) after each atom.
Element x y z (fractional)
Co  0.6251  0.6251  0.1246  6 Co 2.37-2.38
Co  0.6251  0.1246  0.6251  6 Co 2.37-2.38
Co  0.6251  0.6251  0.6251  6 Co 2.37-2.38
Co  0.1246  0.6251  0.6251  6 Co 2.37-2.38
Pd  0.0000  0.0000  0.0000  12 Co 2.79, 4 Pt 2.91
Pt  0.2500  0.2500  0.2500  12 Co 2.79, 4 Pd 2.91

Computed properties:
final energy: -6.585 eV/atom
calculated formation energy: 0.0249 eV per atom
calculated volume: 75.9 Å³ per cell

[7]
First-principles (PBE-GGA) data for a geometry-optimized TeAs2Cl structure, as listed in the Alexandria database.

Unit cell a=3.4908 b=5.9696 c=8.0037 alpha=46.86 beta=90.00 gamma=90.00
With the nearest neighbours (Å) after each atom.
Element x y z (fractional)
As  0.0000  0.0371  0.0745  1 Cl 2.26, 2 As 2.51
As  0.5000  0.1826  0.2108  2 As 2.51, 1 Te 2.60
Te  0.5000  0.7470  0.8181  1 As 2.60
Cl  0.0000  0.5334  0.3966  1 As 2.26

Computed properties:
relative energy among the computed polymorphs: 0.00 kJ/mol of atoms
final energy: -3.709 eV/atom
E_form (uncorrected): -137 meV per atom
calculated volume: 121.7 Å³ per cell

[8]
First-principles (PBE-GGA) data for a geometry-optimized Li5Ac2Zn12 structure, as listed in the Alexandria database.

Unit cell a=7.0228 b=7.0228 c=7.0228 alpha=83.02 beta=83.02 gamma=83.02
With the nearest neighbours (Å) after each atom.
Element x y z (fractional)
Li  0.0000  0.0000  0.5000  8 Zn 2.65-2.69, 2 Li 2.86
Li  0.0000  0.5000  0.0000  8 Zn 2.65-2.69, 2 Li 2.86
Li  0.5000  0.0000  0.0000  8 Zn 2.65-2.69, 2 Li 2.86
Li  0.9050  0.9050  0.9050  4 Li 2.58-2.86
Li  0.0950  0.0950  0.0950  4 Li 2.58-2.86
Ac  0.6550  0.6550  0.6550  15 Zn 3.32-3.53, 4 Li 3.39-3.62
Ac  0.3450  0.3450  0.3450  15 Zn 3.32-3.53, 4 Li 3.39-3.62
Zn  0.2865  0.7135  0.0000  4 Li 2.65-2.96, 6 Zn 2.67-2.88
Zn  0.7135  0.0000  0.2865  4 Li 2.65-2.96, 6 Zn 2.67-2.88
Zn  0.0000  0.2865  0.7135  4 Li 2.65-2.96, 6 Zn 2.67-2.88
Zn  0.7135  0.2865  0.0000  4 Li 2.65-2.96, 6 Zn 2.67-2.88
Zn  0.2865  0.0000  0.7135  4 Li 2.65-2.96, 6 Zn 2.67-2.88
Zn  0.0000  0.7135  0.2865  4 Li 2.65-2.96, 6 Zn 2.67-2.88
Zn  0.3451  0.3451  0.8477  3 Li 2.69-2.91, 6 Zn 2.72-2.88
Zn  0.3451  0.8477  0.3451  3 Li 2.69-2.91, 6 Zn 2.72-2.88
Zn  0.8477  0.3451  0.3451  3 Li 2.69-2.91, 6 Zn 2.72-2.88
Zn  0.6549  0.1523  0.6549  3 Li 2.69-2.91, 6 Zn 2.72-2.88
Zn  0.6549  0.6549  0.1523  3 Li 2.69-2.91, 6 Zn 2.72-2.88
Zn  0.1523  0.6549  0.6549  3 Li 2.69-2.91, 6 Zn 2.72-2.88

Computed properties:
final energy: -1.971 eV/atom
calculated formation energy: -0.2298 eV per atom
calculated volume: 339.2 Å³ per cell